[1]
DFT (PBEsol) results for a geometry-optimized ZnMoCl structure.

Summary:
As for the total magnetization: 0.5 μB per formula unit. Its offset from the most stable computed form is 0 meV per atom. The value obtained for the energy relative to the elements, uncorrected is 252 meV/atom. The final energy comes out at -4.867 eV per atom.

```
ZnMoCl
1.0
-0.043 1.930 -2.213
-1.184 -0.800 -2.623
-5.897 3.120 0.888
Mo Zn Cl
1 1 1
Cartesian
-1.918 1.661 -0.463
-3.841 3.323 -0.924
-0.224 1.996 -2.152
```



[2]
DFT (PBEsol) results for a geometry-optimized ZnMoCl structure.

Summary:
As for the total magnetization: 0.7 μB per formula unit. Its offset from the most stable computed form is 804 meV per atom. The value obtained for the energy relative to the elements, uncorrected is 1056 meV/atom. The final energy comes out at -4.063 eV per atom.

```
ZnMoCl
1.0
4.117 0.000 0.000
2.059 3.565 0.000
2.059 1.188 3.362
Mo Zn Cl
1 1 1
Cartesian
0.000 0.000 0.000
4.117 2.377 1.681
2.059 1.188 0.840
```



[3]
DFT (PBEsol) results for a geometry-optimized ZrMoCl2 structure.

Summary:
As for the total magnetization: 0.0 μB per formula unit. Its offset from the most stable computed form is 0 meV per atom. The value obtained for the energy relative to the elements, uncorrected is -487 meV/atom. The final energy comes out at -6.705 eV per atom.

```
ZrMoCl2
1.0
3.192 0.000 0.000
0.000 3.851 -0.116
0.000 -1.657 6.859
Mo Zr Cl
1 1 2
Cartesian
0.000 1.826 3.732
1.596 -0.136 5.003
0.000 2.000 6.206
1.596 1.797 1.916
```



[4]
DFT (PBEsol) results for a geometry-optimized ZrMoCl2 structure.

Summary:
As for the total magnetization: 0.0 μB per formula unit. Its offset from the most stable computed form is 657 meV per atom. The value obtained for the energy relative to the elements, uncorrected is 171 meV/atom. The final energy comes out at -6.048 eV per atom.

```
ZrMoCl2
1.0
-2.813 -2.722 -2.073
0.483 -0.806 -4.329
1.376 -3.981 -1.372
Mo Zr Cl
1 1 2
Cartesian
0.000 0.000 0.000
-0.477 -3.754 -3.887
-0.239 -1.877 -1.943
-0.716 -5.632 -5.830
```



[5]
DFT (PBEsol) results for a geometry-optimized ZrMoCl2 structure.

Summary:
As for the total magnetization: 0.0 μB per formula unit. Its offset from the most stable computed form is 74 meV per atom. The value obtained for the energy relative to the elements, uncorrected is -413 meV/atom. The final energy comes out at -6.631 eV per atom.

```
ZrMoCl2
1.0
-2.691 0.399 -1.368
-1.951 -2.327 -0.229
-5.048 1.552 6.993
Mo Zr Cl
1 1 2
Cartesian
0.000 0.000 0.000
-4.845 -0.188 2.698
-5.617 -1.317 0.497
-4.074 0.941 4.898
```



[6]
DFT (PBEsol) results for a geometry-optimized ZrMoCl2 structure.

Summary:
As for the total magnetization: 0.0 μB per formula unit. Its offset from the most stable computed form is 26 meV per atom. The value obtained for the energy relative to the elements, uncorrected is -461 meV/atom. The final energy comes out at -6.679 eV per atom.

```
ZrMoCl2
1.0
-1.285 -2.506 1.452
0.298 -2.346 -3.785
6.254 -0.393 1.400
Mo Zr Cl
1 1 2
Cartesian
-0.643 -1.253 0.726
0.149 -1.173 -1.892
3.936 -1.782 0.408
1.332 -3.463 -1.341
```



[7]
DFT (PBEsol) results for a geometry-optimized NaNCl3 structure.

Summary:
As for the total magnetization: 4.9 μB per formula unit. Its offset from the most stable computed form is 801 meV per atom. The value obtained for the energy relative to the elements, uncorrected is 884 meV/atom. The final energy comes out at -2.306 eV per atom.

```
NaNCl3
1.0
5.258 0.000 0.000
0.000 5.258 0.000
0.000 0.000 5.258
Na N Cl
1 1 3
Cartesian
0.000 0.000 0.000
2.629 2.629 2.629
0.000 2.629 0.000
0.000 0.000 2.629
2.629 0.000 0.000
```



[8]
DFT (PBEsol) results for a geometry-optimized NaNCl3 structure.

Summary:
As for the total magnetization: 0.5 μB per formula unit. Its offset from the most stable computed form is 0 meV per atom. The value obtained for the energy relative to the elements, uncorrected is 83 meV/atom. The final energy comes out at -3.107 eV per atom.

```
NaNCl3
1.0
-1.485 2.389 -3.448
-3.713 -2.450 -0.098
-1.951 2.844 2.811
Na N Cl
1 1 3
Cartesian
-3.575 1.391 -0.367
0.000 0.000 0.000
-1.856 -1.225 -0.049
-0.976 1.422 1.406
-0.743 1.194 -1.724
```



Q: Look up the total magnetization of the first one.
A: 0.5 μB per formula unit



Q: Number 6 is which compound?
A: ZrMoCl2



Q: What is the total magnetization in the third record?
A: 0.0 μB per formula unit



Q: What is the offset from the most stable computed form in the second record?
A: 804 meV per atom